DFT (PBE) results for SrGaCu6Si after structural relaxation.

Summary:
The calculated volume is 603.6 Å³ per cell.

abc: 6.6008 6.7109 13.6265
angles: 90.00 90.00 90.00
With the nearest neighbours (Å) after each atom.
Space group Imma (No. 74)
Unique sites:
Sr1 0.0000 0.2500 0.0440 [4 per cell]  2 Si 3.26, 11 Cu 3.30-3.63, 2 Sr 3.56
Ga1 0.0000 0.0000 0.5000 [4 per cell]  6 Cu 2.43-2.56
Cu1 0.0000 0.2500 0.3710 [4 per cell]  2 Si 2.33, 2 Ga 2.43, 4 Cu 2.50
Cu2 0.0000 0.2500 0.7964 [4 per cell]  8 Cu 2.44-2.60
Cu3 0.1966 0.0634 0.6588 [16 per cell]  6 Cu 2.44-2.60, 1 Si 2.47, 1 Ga 2.56
Si1 0.2500 0.2500 0.2500 [4 per cell]  6 Cu 2.33-2.47

DFT (PBE) results for Sr3GaCu6Si2 after structural relaxation.

Summary:
The calculated volume is 263.1 Å³ per cell.

abc: 6.2556 6.2556 7.7637
angles: 90.00 90.00 120.00
With the nearest neighbours (Å) after each atom.
Space group P-3m1 (No. 164)
Unique sites:
Sr1 0.0000 0.0000 0.0000 [1 per cell]  6 Cu 3.67, 6 Si 3.80, 2 Ga 3.88, 6 Sr 4.09
Sr2 0.3333 0.6667 0.7526 [2 per cell]  1 Si 3.09, 9 Cu 3.22-3.32
Ga1 0.0000 0.0000 0.5000 [1 per cell]  6 Cu 2.33
Cu1 0.1985 0.3970 0.3833 [6 per cell]  1 Si 2.32, 1 Ga 2.33, 2 Cu 2.53
Si1 0.3333 0.6667 0.1503 [2 per cell]  3 Cu 2.32

DFT (PBE) results for SrGaCu3Si after structural relaxation.

Summary:
The calculated volume is 457.8 Å³ per cell.

abc: 6.3831 12.0129 5.9710
angles: 90.00 90.00 90.00
With the nearest neighbours (Å) after each atom.
Space group Cmcm (No. 63)
Unique sites:
Sr1 0.0000 0.2307 0.2500 [4 per cell]  8 Cu 3.12-3.39, 1 Ga 3.22, 2 Si 3.29
Ga1 0.0000 0.4987 0.2500 [4 per cell]  5 Cu 2.34-2.45
Cu1 0.0000 0.3066 0.7500 [4 per cell]  1 Si 2.29, 1 Ga 2.34
Cu2 0.1951 0.0000 0.0000 [8 per cell]  2 Si 2.39, 2 Ga 2.45, 1 Cu 2.49
Si1 0.0000 0.1162 0.7500 [4 per cell]  5 Cu 2.29-2.39

DFT (PBE) results for SrGaCu2Si after structural relaxation.

Summary:
The calculated volume is 185.4 Å³ per cell.

abc: 4.1844 4.2187 10.5047
angles: 90.00 90.00 90.00
With the nearest neighbours (Å) after each atom.
Space group Imm2 (No. 44)
Unique sites:
Sr1 0.0000 0.0000 0.0000 [2 per cell]  8 Cu 3.20-3.48, 4 Si 3.22, 4 Ga 3.30-3.42
Ga1 0.0000 0.5000 0.7434 [2 per cell]  2 Cu 2.52, 2 Si 2.55
Cu1 0.0000 0.0000 0.6121 [2 per cell]  1 Si 2.42, 2 Ga 2.52, 2 Cu 2.63
Cu2 0.0000 0.5000 0.2632 [2 per cell]  2 Si 2.45, 2 Cu 2.63
Si1 0.0000 0.0000 0.3821 [2 per cell]  3 Cu 2.42-2.45, 2 Ga 2.55

DFT (PBE) results for Sr2GaCu4Si3 after structural relaxation.

Summary:
The calculated volume is 179.1 Å³ per cell.

abc: 4.2204 4.2204 10.0545
angles: 90.00 90.00 90.00
With the nearest neighbours (Å) after each atom.
Space group P-4m2 (No. 115)
Unique sites:
Sr1 0.0000 0.5000 0.2446 [2 per cell]  8 Cu 3.22-3.24, 6 Si 3.23-3.32, 2 Ga 3.32
Ga1 0.0000 0.0000 0.5000 [1 per cell]  4 Cu 2.50
Cu1 0.0000 0.0000 0.0000 [1 per cell]  4 Si 2.44
Cu2 0.0000 0.5000 0.6340 [2 per cell]  3 Si 2.46-2.50, 2 Ga 2.50
Cu3 0.5000 0.5000 0.0000 [1 per cell]  4 Si 2.44
Si1 0.0000 0.5000 0.8788 [2 per cell]  5 Cu 2.44-2.46
Si2 0.5000 0.5000 0.5000 [1 per cell]  4 Cu 2.50

DFT (PBE) results for SrGa2CuSi after structural relaxation.

Summary:
The calculated volume is 194.0 Å³ per cell.

abc: 4.2429 4.3017 10.6285
angles: 90.00 90.00 90.00
With the nearest neighbours (Å) after each atom.
Space group Imm2 (No. 44)
Unique sites:
Sr1 0.0000 0.0000 0.0000 [2 per cell]  4 Si 3.27, 8 Ga 3.27-3.42, 4 Cu 3.31-3.50
Ga1 0.0000 0.0000 0.3813 [2 per cell]  1 Si 2.52, 2 Ga 2.57, 2 Cu 2.60
Ga2 0.0000 0.5000 0.2496 [2 per cell]  2 Si 2.54, 2 Ga 2.57
Cu1 0.0000 0.5000 0.7396 [2 per cell]  2 Si 2.51, 2 Ga 2.60
Si1 0.0000 0.0000 0.6180 [2 per cell]  2 Cu 2.51, 3 Ga 2.52-2.54

no.,formation energy from raw total energies (kJ per mole of atoms),DOS(E_F) (states/eV per cell)
1,0,18.12
2,-13,5.24
3,-10,7.89
4,-27,4.10
5,-30,4.61
6,-34,2.46